No. 1
A crystal of SnH12PtN4Cl6 relaxed with PBEsol. Source: Alexandria, functional meta-GGA SCAN.

Cell lengths 7.9901, 7.9901, 10.4858 Å; angles 90.00, 90.00, 85.38 degrees
Fractional positions:
Sn 0.0000 0.0000 0.0000
Sn 0.5000 0.5000 0.5000
H 0.0728 0.1989 0.3187
H 0.0861 0.7034 0.6000
H 0.1070 0.2943 0.4568
H 0.1989 0.0728 0.6813
H 0.2034 0.5861 0.1000
H 0.2057 0.3930 0.0432
H 0.2943 0.1070 0.5432
H 0.2967 0.9139 0.6000
H 0.3011 0.4272 0.1813
H 0.3930 0.2057 0.9568
H 0.4139 0.7966 0.1000
H 0.4272 0.3011 0.8187
H 0.5728 0.6989 0.1813
H 0.5861 0.2034 0.9000
H 0.6070 0.7943 0.0432
H 0.6989 0.5728 0.8187
H 0.7034 0.0861 0.4000
H 0.7057 0.8930 0.4568
H 0.7943 0.6070 0.9568
H 0.7966 0.4139 0.9000
H 0.8011 0.9272 0.3187
H 0.8930 0.7057 0.5432
H 0.9139 0.2967 0.4000
H 0.9272 0.8011 0.6813
Pt 0.0000 0.0000 0.5000
Pt 0.5000 0.5000 0.0000
N 0.0252 0.2220 0.4093
N 0.2220 0.0252 0.5907
N 0.2780 0.4748 0.0907
N 0.4748 0.2780 0.9093
N 0.5252 0.7220 0.0907
N 0.7220 0.5252 0.9093
N 0.7780 0.9748 0.4093
N 0.9748 0.7780 0.5907
Cl 0.0585 0.2404 0.8646
Cl 0.1855 0.8145 0.8713
Cl 0.2404 0.0585 0.1354
Cl 0.2596 0.4415 0.6354
Cl 0.3145 0.6855 0.3713
Cl 0.4415 0.2596 0.3646
Cl 0.5585 0.7404 0.6354
Cl 0.6855 0.3145 0.6287
Cl 0.7404 0.5585 0.3646
Cl 0.7596 0.9415 0.8646
Cl 0.8145 0.1855 0.1287
Cl 0.9415 0.7596 0.1354

**Calculated volume**: 13.9 Å³/atom
**Final energy**: -10.36 eV per atom
**Space-group type**: Cmce

No. 2
A crystal of Rb5Te3H4NCl18 relaxed with PBEsol. Source: Alexandria, functional meta-GGA SCAN.

Cell lengths 7.1974, 7.1974, 17.6351 Å; angles 90.00, 90.00, 120.00 degrees
Fractional positions:
Rb 0.0000 0.0000 0.0000
Rb 0.0000 0.0000 0.4984
Rb 0.3333 0.6667 0.8335
Rb 0.6667 0.3333 0.1669
Rb 0.6667 0.3333 0.6659
Te 0.0000 0.0000 0.7497
Te 0.3333 0.6667 0.0847
Te 0.6667 0.3333 0.4146
H 0.2548 0.5097 0.3132
H 0.2548 0.7452 0.3132
H 0.3333 0.6667 0.3917
H 0.4903 0.7452 0.3132
N 0.3333 0.6667 0.3328
Cl 0.0014 0.5007 0.0013
Cl 0.1661 0.3322 0.6665
Cl 0.1661 0.8339 0.6665
Cl 0.1668 0.3336 0.1673
Cl 0.1668 0.8332 0.1673
Cl 0.3323 0.1661 0.8329
Cl 0.3333 0.1667 0.3318
Cl 0.4993 0.5007 0.0013
Cl 0.4993 0.9986 0.0013
Cl 0.5006 0.0011 0.4981
Cl 0.5006 0.4994 0.4981
Cl 0.6664 0.8332 0.1673
Cl 0.6678 0.8339 0.6665
Cl 0.8333 0.1667 0.3318
Cl 0.8333 0.6667 0.3318
Cl 0.8339 0.1661 0.8329
Cl 0.8339 0.6677 0.8329
Cl 0.9989 0.4994 0.4981

**Calculated volume**: 25.5 Å³/atom
**Final energy**: -13.55 eV per atom
**Space-group type**: P3m1

No. 3
A crystal of ReH8N2Cl6 relaxed with PBEsol. Source: Alexandria, functional meta-GGA SCAN.

Cell lengths 6.9081, 6.9081, 6.9081 Å; angles 60.00, 60.00, 60.00 degrees
Fractional positions:
Re 0.0000 0.0000 0.0000
H 0.0660 0.3113 0.3113
H 0.3113 0.0660 0.3113
H 0.3113 0.3113 0.0660
H 0.3113 0.3113 0.3113
H 0.6887 0.6887 0.6887
H 0.6887 0.6887 0.9340
H 0.6887 0.9340 0.6887
H 0.9340 0.6887 0.6887
N 0.2500 0.2500 0.2500
N 0.7500 0.7500 0.7500
Cl 0.2407 0.2407 0.7593
Cl 0.2407 0.7593 0.2407
Cl 0.2407 0.7593 0.7593
Cl 0.7593 0.2407 0.2407
Cl 0.7593 0.2407 0.7593
Cl 0.7593 0.7593 0.2407

**Calculated volume**: 13.7 Å³/atom
**Final energy**: -10.44 eV per atom
**Space-group type**: Fm-3m

No. 4
A crystal of ReH30Ru2N10Cl10 relaxed with PBEsol. Source: Alexandria, functional meta-GGA SCAN.

Cell lengths 6.8646, 6.8646, 13.2060 Å; angles 98.02, 98.02, 71.19 degrees
Fractional positions:
Re 0.0000 0.0000 0.0000
H 0.0373 0.3288 0.8097
H 0.0380 0.6347 0.6069
H 0.0475 0.4545 0.2483
H 0.1154 0.5291 0.8584
H 0.2154 0.5144 0.5265
H 0.2592 0.6888 0.6188
H 0.3112 0.7408 0.3812
H 0.3288 0.0373 0.8097
H 0.3653 0.9620 0.3931
H 0.3866 0.5910 0.1651
H 0.4090 0.6134 0.8349
H 0.4370 0.4370 0.2601
H 0.4545 0.0475 0.2483
H 0.4709 0.8846 0.1416
H 0.4856 0.7846 0.4735
H 0.5144 0.2154 0.5265
H 0.5291 0.1154 0.8584
H 0.5455 0.9525 0.7517
H 0.5630 0.5630 0.7399
H 0.5910 0.3866 0.1651
H 0.6134 0.4090 0.8349
H 0.6347 0.0380 0.6069
H 0.6712 0.9627 0.1903
H 0.6888 0.2592 0.6188
H 0.7408 0.3112 0.3812
H 0.7846 0.4856 0.4735
H 0.8846 0.4709 0.1416
H 0.9525 0.5455 0.7517
H 0.9620 0.3653 0.3931
H 0.9627 0.6712 0.1903
Ru 0.3240 0.3240 0.6961
Ru 0.6760 0.6760 0.3039
N 0.0814 0.4479 0.7899
N 0.1958 0.5692 0.6029
N 0.4308 0.8042 0.3971
N 0.4479 0.0814 0.7899
N 0.4961 0.4961 0.7863
N 0.5039 0.5039 0.2137
N 0.5521 0.9186 0.2101
N 0.5692 0.1958 0.6029
N 0.8042 0.4308 0.3971
N 0.9186 0.5521 0.2101
Cl 0.0036 0.0036 0.1795
Cl 0.1347 0.1347 0.5949
Cl 0.2127 0.2127 0.0274
Cl 0.2937 0.7063 0.0000
Cl 0.3177 0.3177 0.3731
Cl 0.6823 0.6823 0.6269
Cl 0.7063 0.2937 0.0000
Cl 0.7873 0.7873 0.9726
Cl 0.8653 0.8653 0.4051
Cl 0.9964 0.9964 0.8205

**Calculated volume**: 10.9 Å³/atom
**Final energy**: -8.46 eV per atom
**Space-group type**: C2/m

No. 5
A crystal of ScH6N2Cl3 relaxed with PBEsol. Source: Alexandria, functional meta-GGA SCAN.

Cell lengths 6.7805, 9.8213, 10.7709 Å; angles 73.33, 88.45, 70.43 degrees
Fractional positions:
Sc 0.1082 0.2258 0.1991
Sc 0.3565 0.8059 0.3036
Sc 0.6435 0.1941 0.6964
Sc 0.8918 0.7742 0.8009
H 0.2091 0.4772 0.2054
H 0.2193 0.4729 0.0521
H 0.2202 0.3064 0.6005
H 0.2242 0.2955 0.7566
H 0.2454 0.7860 0.0598
H 0.2659 0.4392 0.6488
H 0.2758 0.7708 0.5669
H 0.2794 0.9443 0.5010
H 0.2835 0.9485 0.0368
H 0.4173 0.3644 0.1602
H 0.4889 0.7935 0.0520
H 0.4960 0.1981 0.4521
H 0.5040 0.8019 0.5479
H 0.5111 0.2065 0.9480
H 0.5827 0.6356 0.8398
H 0.7165 0.0515 0.9632
H 0.7206 0.0557 0.4990
H 0.7242 0.2292 0.4331
H 0.7341 0.5608 0.3512
H 0.7546 0.2140 0.9402
H 0.7758 0.7045 0.2434
H 0.7798 0.6936 0.3995
H 0.7807 0.5271 0.9479
H 0.7909 0.5228 0.7946
N 0.2553 0.4057 0.1477
N 0.2973 0.3244 0.6725
N 0.3445 0.8344 0.0867
N 0.3548 0.8323 0.5050
N 0.6452 0.1677 0.4950
N 0.6555 0.1656 0.9133
N 0.7027 0.6756 0.3275
N 0.7447 0.5943 0.8523
Cl 0.0039 0.0036 0.7411
Cl 0.1195 0.2255 0.9705
Cl 0.1358 0.2202 0.4263
Cl 0.2473 0.5989 0.8320
Cl 0.2633 0.5858 0.3663
Cl 0.4774 0.0332 0.2396
Cl 0.5226 0.9668 0.7604
Cl 0.7367 0.4142 0.6337
Cl 0.7527 0.4011 0.1680
Cl 0.8642 0.7798 0.5737
Cl 0.8805 0.7745 0.0295
Cl 0.9961 0.9964 0.2589

**Calculated volume**: 13.4 Å³/atom
**Final energy**: -7.58 eV per atom
**Space-group type**: P-1

No. 6
A crystal of ScH3NCl3 relaxed with PBEsol. Source: Alexandria, functional meta-GGA SCAN.

Cell lengths 6.9240, 9.0968, 9.1665 Å; angles 73.34, 77.44, 80.64 degrees
Fractional positions:
Sc 0.0796 0.1961 0.4406
Sc 0.3999 0.3080 0.0516
Sc 0.6001 0.6920 0.9484
Sc 0.9204 0.8039 0.5594
H 0.1849 0.7669 0.0128
H 0.2513 0.2641 0.6611
H 0.2512 0.4176 0.5099
H 0.2762 0.7648 0.1656
H 0.2909 0.9167 0.0128
H 0.4253 0.2703 0.5052
H 0.5747 0.7297 0.4948
H 0.7091 0.0833 0.9872
H 0.7238 0.2352 0.8344
H 0.7488 0.5824 0.4901
H 0.7487 0.7359 0.3389
H 0.8151 0.2331 0.9872
N 0.2756 0.2980 0.5412
N 0.3028 0.7972 0.0456
N 0.6972 0.2028 0.9544
N 0.7244 0.7020 0.4588
Cl 0.0890 0.4145 0.2051
Cl 0.1020 0.9617 0.6598
Cl 0.2140 0.6824 0.4333
Cl 0.2310 0.1841 0.9277
Cl 0.4001 0.0918 0.2895
Cl 0.4108 0.5457 0.8361
Cl 0.5892 0.4543 0.1639
Cl 0.5999 0.9082 0.7105
Cl 0.7690 0.8159 0.0723
Cl 0.7860 0.3176 0.5667
Cl 0.8980 0.0383 0.3402
Cl 0.9110 0.5855 0.7949

**Calculated volume**: 16.8 Å³/atom
**Final energy**: -8.67 eV per atom
**Space-group type**: P-1

No. 7
A crystal of Ta2H15N6Cl7 relaxed with PBEsol. Source: Alexandria, functional meta-GGA SCAN.

Cell lengths 10.9337, 10.9337, 7.8107 Å; angles 90.00, 90.00, 120.48 degrees
Fractional positions:
Ta 0.0000 0.0000 0.0000
Ta 0.0000 0.0000 0.5000
Ta 0.1748 0.8252 0.7500
Ta 0.8252 0.1748 0.2500
H 0.0854 0.9146 0.2500
H 0.0860 0.4240 0.6424
H 0.0860 0.4240 0.8576
H 0.1096 0.3010 0.7500
H 0.1386 0.8614 0.0363
H 0.1386 0.8614 0.4637
H 0.2417 0.4716 0.7500
H 0.2885 0.5547 0.2500
H 0.3010 0.1096 0.2500
H 0.4240 0.0860 0.1424
H 0.4240 0.0860 0.3576
H 0.4311 0.5689 0.1440
H 0.4311 0.5689 0.3560
H 0.4453 0.7115 0.2500
H 0.4716 0.2417 0.2500
H 0.5284 0.7583 0.7500
H 0.5547 0.2885 0.7500
H 0.5689 0.4311 0.6440
H 0.5689 0.4311 0.8560
H 0.5760 0.9140 0.6424
H 0.5760 0.9140 0.8576
H 0.6990 0.8904 0.7500
H 0.7115 0.4453 0.7500
H 0.7583 0.5284 0.2500
H 0.8614 0.1386 0.5363
H 0.8614 0.1386 0.9637
H 0.8904 0.6990 0.2500
H 0.9140 0.5760 0.1424
H 0.9140 0.5760 0.3576
H 0.9146 0.0854 0.7500
N 0.0313 0.9687 0.2500
N 0.1055 0.8945 0.5689
N 0.1055 0.8945 0.9311
N 0.1274 0.4036 0.7500
N 0.3982 0.6018 0.2500
N 0.4036 0.1274 0.2500
N 0.5964 0.8726 0.7500
N 0.6018 0.3982 0.7500
N 0.8726 0.5964 0.2500
N 0.8945 0.1055 0.0689
N 0.8945 0.1055 0.4311
N 0.9687 0.0313 0.7500
Cl 0.0352 0.4107 0.2500
Cl 0.2220 0.2220 0.0000
Cl 0.2220 0.2220 0.5000
Cl 0.2689 0.7311 0.5265
Cl 0.2689 0.7311 0.9735
Cl 0.4107 0.0352 0.7500
Cl 0.4423 0.5577 0.7500
Cl 0.5577 0.4423 0.2500
Cl 0.5893 0.9648 0.2500
Cl 0.7311 0.2689 0.0265
Cl 0.7311 0.2689 0.4735
Cl 0.7780 0.7780 0.0000
Cl 0.7780 0.7780 0.5000
Cl 0.9648 0.5893 0.7500

**Calculated volume**: 13.4 Å³/atom
**Final energy**: -10.63 eV per atom
**Space-group type**: Cmcm

No. 8
A crystal of VH11N3Cl5 relaxed with PBEsol. Source: Alexandria, functional meta-GGA SCAN.

Cell lengths 13.4591, 10.4559, 6.7560 Å; angles 90.00, 90.00, 90.00 degrees
Fractional positions:
V 0.1056 0.2500 0.1874
V 0.3944 0.7500 0.6874
V 0.6056 0.2500 0.3126
V 0.8944 0.7500 0.8126
H 0.0198 0.6706 0.0937
H 0.0198 0.8294 0.0937
H 0.0627 0.5171 0.7083
H 0.0627 0.9829 0.7083
H 0.0846 0.7500 0.9290
H 0.1357 0.0034 0.5078
H 0.1357 0.4966 0.5078
H 0.1633 0.0813 0.7245
H 0.1633 0.4187 0.7245
H 0.1788 0.5808 0.7080
H 0.1788 0.9192 0.7080
H 0.3212 0.0808 0.2080
H 0.3212 0.4192 0.2080
H 0.3367 0.5813 0.2245
H 0.3367 0.9187 0.2245
H 0.3643 0.5034 0.0078
H 0.3643 0.9966 0.0078
H 0.4154 0.2500 0.4290
H 0.4373 0.0171 0.2083
H 0.4373 0.4829 0.2083
H 0.4802 0.1706 0.5937
H 0.4802 0.3294 0.5937
H 0.5198 0.6706 0.4063
H 0.5198 0.8294 0.4063
H 0.5627 0.5171 0.7917
H 0.5627 0.9829 0.7917
H 0.5846 0.7500 0.5710
H 0.6357 0.0034 0.9922
H 0.6357 0.4966 0.9922
H 0.6633 0.0813 0.7755
H 0.6633 0.4187 0.7755
H 0.6788 0.5808 0.7920
H 0.6788 0.9192 0.7920
H 0.8212 0.0808 0.2920
H 0.8212 0.4192 0.2920
H 0.8367 0.5813 0.2755
H 0.8367 0.9187 0.2755
H 0.8643 0.5034 0.4922
H 0.8643 0.9966 0.4922
H 0.9154 0.2500 0.0710
H 0.9373 0.0171 0.2917
H 0.9373 0.4829 0.2917
H 0.9802 0.1706 0.9063
H 0.9802 0.3294 0.9063
N 0.0174 0.7500 0.0032
N 0.1358 0.5033 0.6622
N 0.1358 0.9967 0.6622
N 0.3642 0.0033 0.1622
N 0.3642 0.4967 0.1622
N 0.4826 0.2500 0.5032
N 0.5174 0.7500 0.4968
N 0.6358 0.5033 0.8378
N 0.6358 0.9967 0.8378
N 0.8642 0.0033 0.3378
N 0.8642 0.4967 0.3378
N 0.9826 0.2500 0.9968
Cl 0.0031 0.2500 0.4630
Cl 0.1021 0.0224 0.1890
Cl 0.1021 0.4776 0.1890
Cl 0.2035 0.2500 0.8984
Cl 0.2470 0.7500 0.8788
Cl 0.2530 0.2500 0.3788
Cl 0.2965 0.7500 0.3984
Cl 0.3979 0.5224 0.6890
Cl 0.3979 0.9776 0.6890
Cl 0.4969 0.7500 0.9630
Cl 0.5031 0.2500 0.0370
Cl 0.6021 0.0224 0.3110
Cl 0.6021 0.4776 0.3110
Cl 0.7035 0.2500 0.6016
Cl 0.7470 0.7500 0.6212
Cl 0.7530 0.2500 0.1212
Cl 0.7965 0.7500 0.1016
Cl 0.8979 0.5224 0.8110
Cl 0.8979 0.9776 0.8110
Cl 0.9969 0.7500 0.5370

**Calculated volume**: 11.9 Å³/atom
**Final energy**: -6.99 eV per atom
**Space-group type**: Pnma

Q: The lowest calculated volume belongs to which entry?
A: ReH30Ru2N10Cl10